Arrangement one

Computed, not measured: a relaxed structure of TcRh3F at the PBE level of DFT.

Computed properties:
- Fermi-level density of states (states/eV/cell) = 8.16
- M_tot (μB per formula unit) = 3.98
- calculated density (g cm⁻³) = 9.45

Structure (POSCAR):
```
TcRh3F
1.0
4.213 0.000 0.000
0.000 4.213 0.000
0.000 0.000 4.213
Tc Rh F
1 3 1
Direct
0.500 0.500 0.500
0.500 0.000 0.000
0.000 0.500 0.000
0.000 0.000 0.500
0.000 0.000 0.000
```

---

Arrangement two

Computed, not measured: a relaxed structure of TcRh3F at the PBE level of DFT.

Computed properties:
- Fermi-level density of states (states/eV/cell) = 6.82
- M_tot (μB per formula unit) = 0.31
- calculated density (g cm⁻³) = 6.92

Structure (POSCAR):
```
TcRh3F
1.0
4.675 0.000 0.000
0.000 4.675 0.000
0.000 0.000 4.675
Rh F Tc
3 1 1
Direct
0.500 0.000 0.000
0.000 0.500 0.000
0.000 0.000 0.500
0.500 0.500 0.500
0.000 0.000 0.000
```

---

Ranked by calculated energy, most stable first: arrangement one, arrangement two.

---

Arrangement one

Computed, not measured: a relaxed structure of TcRhF3 at the PBE level of DFT.

Computed properties:
- Fermi-level density of states (states/eV/cell) = 5.13
- M_tot (μB per formula unit) = 4.36
- calculated density (g cm⁻³) = 5.59

Structure (POSCAR):
```
TcRhF3
1.0
-2.437 3.149 1.475
1.260 -0.879 3.959
3.241 2.710 -0.430
F Rh Tc
3 1 1
Direct
0.500 0.000 0.000
0.000 0.500 0.000
0.000 0.000 0.500
0.000 0.000 0.000
0.500 0.500 0.500
```

---

Arrangement two

Computed, not measured: a relaxed structure of TcRhF3 at the PBE level of DFT.

Computed properties:
- Fermi-level density of states (states/eV/cell) = 8.18
- M_tot (μB per formula unit) = 3.88
- calculated density (g cm⁻³) = 5.88

Structure (POSCAR):
```
TcRhF3
1.0
-3.049 -2.845 -0.231
2.274 -2.217 -2.713
1.726 -2.106 3.167
F Rh Tc
3 1 1
Direct
0.000 0.000 0.500
0.500 0.000 0.000
0.000 0.500 0.000
0.500 0.500 0.500
0.000 0.000 0.000
```

---

Ranked by calculated energy, most stable first: arrangement two, arrangement one.

---

Arrangement one

Computed, not measured: a relaxed structure of TeRhF3 at the PBE level of DFT.

Computed properties:
- Fermi-level density of states (states/eV/cell) = 8.44
- M_tot (μB per formula unit) = 1.52
- calculated density (g cm⁻³) = 5.00

Structure (POSCAR):
```
TeRhF3
1.0
-3.315 -0.061 3.146
-2.466 -2.787 -2.653
1.954 -3.622 1.989
F Rh Te
3 1 1
Direct
0.000 0.500 0.000
0.000 0.000 0.500
0.500 0.000 0.000
0.500 0.500 0.500
0.000 0.000 0.000
```

---

Arrangement two

Computed, not measured: a relaxed structure of TeRhF3 at the PBE level of DFT.

Computed properties:
- Fermi-level density of states (states/eV/cell) = 1.98
- M_tot (μB per formula unit) = 3.52
- calculated density (g cm⁻³) = 5.91

Structure (POSCAR):
```
TeRhF3
1.0
4.324 0.000 0.000
0.000 4.324 0.000
0.000 0.000 4.324
F Rh Te
3 1 1
Direct
0.500 0.000 0.000
0.000 0.000 0.500
0.000 0.500 0.000
0.000 0.000 0.000
0.500 0.500 0.500
```

---

Ranked by calculated energy, most stable first: arrangement two, arrangement one.

---

Arrangement one

Computed, not measured: a relaxed structure of TeRh2F at the PBE level of DFT.

Computed properties:
- Fermi-level density of states (states/eV/cell) = 2.11
- M_tot (μB per formula unit) = 0.00
- calculated density (g cm⁻³) = 9.80

Structure (POSCAR):
```
TeRh2F
1.0
0.000 3.102 3.102
3.102 0.000 3.102
3.102 3.102 0.000
Rh F Te
2 1 1
Direct
0.250 0.250 0.250
0.750 0.750 0.750
0.000 0.000 0.000
0.500 0.500 0.500
```

---

Arrangement two

Computed, not measured: a relaxed structure of TeRh2F at the PBE level of DFT.

Computed properties:
- Fermi-level density of states (states/eV/cell) = 8.98
- M_tot (μB per formula unit) = 0.00
- calculated density (g cm⁻³) = 9.04

Structure (POSCAR):
```
TeRh2F
1.0
6.648 0.000 0.000
0.000 6.648 0.000
3.324 3.324 2.930
Rh Te F
4 2 2
Direct
0.606 0.125 0.250
0.875 0.856 0.750
0.375 0.394 0.750
0.144 0.625 0.250
0.750 0.250 0.500
0.000 0.000 0.000
0.500 0.500 0.000
0.250 0.750 0.500
```

---

Ranked by calculated energy, most stable first: arrangement one, arrangement two.

---

Arrangement one

Computed, not measured: a relaxed structure of Ti2Rh2F at the PBE level of DFT.

Computed properties:
- Fermi-level density of states (states/eV/cell) = 5.76
- M_tot (μB per formula unit) = 0.21
- calculated density (g cm⁻³) = 5.81

Structure (POSCAR):
```
Ti2Rh2F
1.0
3.759 0.000 0.000
0.000 3.759 0.000
1.879 1.879 6.486
F Rh Ti
1 2 2
Direct
0.000 0.000 0.000
0.750 0.250 0.500
0.250 0.750 0.500
0.625 0.625 0.751
0.375 0.375 0.249
```

---

Arrangement two

Computed, not measured: a relaxed structure of Ti2Rh2F at the PBE level of DFT.

Computed properties:
- Fermi-level density of states (states/eV/cell) = 10.33
- M_tot (μB per formula unit) = 0.00
- calculated density (g cm⁻³) = 6.96

Structure (POSCAR):
```
Ti2Rh2F
1.0
7.046 0.000 0.000
0.000 7.046 0.000
0.000 0.000 3.081
Ti Rh F
4 4 2
Direct
0.335 0.835 0.000
0.665 0.165 0.000
0.165 0.335 0.000
0.835 0.665 0.000
0.135 0.635 0.500
0.865 0.365 0.500
0.365 0.135 0.500
0.635 0.865 0.500
0.000 0.000 0.000
0.500 0.500 0.000
```

---

Ranked by calculated energy, most stable first: arrangement two, arrangement one.

---

Arrangement one

Computed, not measured: a relaxed structure of TiRh2F at the PBE level of DFT.

Computed properties:
- Fermi-level density of states (states/eV/cell) = 2.41
- M_tot (μB per formula unit) = 0.00
- calculated density (g cm⁻³) = 8.29

Structure (POSCAR):
```
TiRh2F
1.0
0.000 3.011 3.011
3.011 0.000 3.011
3.011 3.011 0.000
Rh Ti F
2 1 1
Direct
0.750 0.750 0.750
0.250 0.250 0.250
0.500 0.500 0.500
0.000 0.000 0.000
```

---

Arrangement two

Computed, not measured: a relaxed structure of TiRh2F at the PBE level of DFT.

Computed properties:
- Fermi-level density of states (states/eV/cell) = 3.70
- M_tot (μB per formula unit) = 0.00
- calculated density (g cm⁻³) = 7.85

Structure (POSCAR):
```
TiRh2F
1.0
6.572 0.000 0.000
0.000 6.572 0.000
3.286 3.286 2.670
Rh Ti F
4 2 2
Direct
0.616 0.125 0.250
0.375 0.384 0.750
0.875 0.866 0.750
0.134 0.625 0.250
0.000 0.000 0.000
0.750 0.250 0.500
0.500 0.500 0.000
0.250 0.750 0.500
```

---

Ranked by calculated energy, most stable first: arrangement one, arrangement two.

---

Arrangement one

Computed, not measured: a relaxed structure of Ti3RhF at the PBE level of DFT.

Computed properties:
- Fermi-level density of states (states/eV/cell) = 4.48
- M_tot (μB per formula unit) = 0.73
- calculated density (g cm⁻³) = 6.19

Structure (POSCAR):
```
Ti3RhF
1.0
-3.575 0.255 -2.082
-1.245 -3.568 1.701
-1.687 2.093 3.154
Ti Rh F
3 1 1
Direct
0.500 0.000 0.000
0.000 0.500 0.000
0.000 0.000 0.500
0.500 0.500 0.500
0.000 0.000 0.000
```

---

Arrangement two

Computed, not measured: a relaxed structure of Ti3RhF at the PBE level of DFT.

Computed properties:
- Fermi-level density of states (states/eV/cell) = 4.53
- M_tot (μB per formula unit) = 2.13
- calculated density (g cm⁻³) = 4.05

Structure (POSCAR):
```
Ti3RhF
1.0
-0.696 -4.719 -0.252
0.691 0.150 -4.724
4.675 -0.724 0.661
Ti F Rh
3 1 1
Direct
0.000 0.000 0.500
0.500 0.000 0.000
0.000 0.500 0.000
0.500 0.500 0.500
0.000 0.000 0.000
```

---

Ranked by calculated energy, most stable first: arrangement one, arrangement two.

---

Arrangement one

Computed, not measured: a relaxed structure of TiRhF3 at the PBE level of DFT.

Computed properties:
- Fermi-level density of states (states/eV/cell) = 8.48
- M_tot (μB per formula unit) = 0.01
- calculated density (g cm⁻³) = 5.28

Structure (POSCAR):
```
TiRhF3
1.0
-3.878 0.569 0.932
-0.904 -3.601 -1.562
0.613 -1.713 3.594
F Ti Rh
3 1 1
Direct
0.500 0.000 0.000
0.000 0.000 0.500
0.000 0.500 0.000
0.000 0.000 0.000
0.500 0.500 0.500
```

---

Arrangement two

Computed, not measured: a relaxed structure of TiRhF3 at the PBE level of DFT.

Computed properties:
- Fermi-level density of states (states/eV/cell) = 14.51
- M_tot (μB per formula unit) = 0.25
- calculated density (g cm⁻³) = 4.52

Structure (POSCAR):
```
TiRhF3
1.0
4.240 0.000 0.000
0.000 4.240 0.000
0.000 0.000 4.240
F Ti Rh
3 1 1
Direct
0.000 0.500 0.000
0.000 0.000 0.500
0.500 0.000 0.000
0.500 0.500 0.500
0.000 0.000 0.000
```

---

Ranked by calculated energy, most stable first: arrangement one, arrangement two.

---

Arrangement one

Computed, not measured: a relaxed structure of TiRhF2 at the PBE level of DFT.

Computed properties:
- Fermi-level density of states (states/eV/cell) = 2.89
- M_tot (μB per formula unit) = 1.30
- calculated density (g cm⁻³) = 5.19

Structure (POSCAR):
```
TiRhF2
1.0
8.807 3.156 2.491
9.571 0.984 1.078
9.092 3.321 -0.190
Rh F Ti
1 2 1
Direct
0.000 0.000 0.000
0.118 0.118 0.118
0.882 0.882 0.882
0.500 0.500 0.500
```

---

Arrangement two

Computed, not measured: a relaxed structure of TiRhF2 at the PBE level of DFT.

Computed properties:
- Fermi-level density of states (states/eV/cell) = 5.85
- M_tot (μB per formula unit) = 0.00
- calculated density (g cm⁻³) = 6.24

Structure (POSCAR):
```
TiRhF2
1.0
3.687 0.000 0.000
0.000 3.687 0.000
1.843 1.843 7.388
Ti Rh F
2 2 4
Direct
0.250 0.750 0.500
0.500 0.500 0.000
0.000 0.000 0.000
0.750 0.250 0.500
0.875 0.834 0.750
0.375 0.416 0.750
0.584 0.125 0.250
0.166 0.625 0.250
```

---

Ranked by calculated energy, most stable first: arrangement one, arrangement two.

---

Arrangement one

Computed, not measured: a relaxed structure of Tl3RhF at the PBE level of DFT.

Computed properties:
- Fermi-level density of states (states/eV/cell) = 1.68
- M_tot (μB per formula unit) = 0.00
- calculated density (g cm⁻³) = 8.37

Structure (POSCAR):
```
Tl3RhF
1.0
5.264 0.000 0.000
0.000 5.264 0.000
0.000 0.000 5.264
Tl F Rh
3 1 1
Direct
0.000 0.500 0.000
0.500 0.000 0.000
0.000 0.000 0.500
0.500 0.500 0.500
0.000 0.000 0.000
```

---

Arrangement two

Computed, not measured: a relaxed structure of Tl3RhF at the PBE level of DFT.

Computed properties:
- Fermi-level density of states (states/eV/cell) = 4.31
- M_tot (μB per formula unit) = 0.56
- calculated density (g cm⁻³) = 9.77

Structure (POSCAR):
```
Tl3RhF
1.0
4.999 0.000 0.000
0.000 4.999 0.000
0.000 0.000 4.999
Tl Rh F
3 1 1
Direct
0.500 0.000 0.000
0.000 0.500 0.000
0.000 0.000 0.500
0.500 0.500 0.500
0.000 0.000 0.000
```

---

Ranked by calculated energy, most stable first: arrangement one, arrangement two.